# PBE-GGA Er6GeP2S3, optimized geometry
# Crystal system: monoclinic
# Total moment, μB/f.u.: 0.00
# Raw formation energy, eV per formula unit: -20.63
# Density of states at the Fermi level, states/eV/atom: 0.2921
data_Er6GeP2S3
_chemical_formula_sum 'Er12 Ge2 P4 S6'
_symmetry_space_group_name_H-M 'C 1 2/m 1'
_symmetry_Int_Tables_number 12
_cell_length_a 17.226
_cell_length_b 3.960
_cell_length_c 7.896
_cell_angle_alpha 90.00
_cell_angle_beta 103.13
_cell_angle_gamma 90.00
loop_
_symmetry_equiv_pos_as_xyz
'x,y,z'
'-x,-y,-z'
'-x,y,-z'
'x,-y,z'
'x+1/2,y+1/2,z'
'-x+1/2,-y+1/2,-z'
'-x+1/2,y+1/2,-z'
'x+1/2,-y+1/2,z'
loop_
_atom_site_label
_atom_site_type_symbol
_atom_site_fract_x
_atom_site_fract_y
_atom_site_fract_z
_atom_site_occupancy
Er1 Er 0.002 0.000 0.250 1
Er2 Er 0.166 0.500 0.089 1
Er3 Er 0.169 0.500 0.578 1
Ge1 Ge 0.000 0.500 0.000 1
P1 P 0.167 0.000 0.335 1
S1 S 0.000 0.500 0.500 1
S2 S 0.167 0.000 0.832 1

# PBE-GGA Er8Ge3PS4, optimized geometry
# Crystal system: trigonal
# Total moment, μB/f.u.: 0.00
# Raw formation energy, eV per formula unit: -24.73
# Density of states at the Fermi level, states/eV/atom: 0.2672
data_Er8Ge3PS4
_chemical_formula_sum 'Er24 Ge9 P3 S12'
_symmetry_space_group_name_H-M 'R -3 m'
_symmetry_Int_Tables_number 166
_symmetry_space_group_name_Hall '-R 3 2"'
_cell_length_a 7.9908
_cell_length_b 7.9908
_cell_length_c 19.5072
_cell_angle_alpha 90.00
_cell_angle_beta 90.00
_cell_angle_gamma 120.00
loop_
_atom_site_label
_atom_site_type_symbol
_atom_site_fract_x
_atom_site_fract_y
_atom_site_fract_z
_atom_site_occupancy
Er1 Er 0.0000 0.0000 0.2497 1
Er2 Er 0.0017 0.5008 0.2482 1
Ge1 Ge 0.0000 0.5000 0.5000 1
P1 P 0.0000 0.0000 0.5000 1
S1 S 0.0000 0.0000 0.0000 1
S2 S 0.0000 0.5000 0.0000 1